Pr2Dy3Y7 | GGA-PBE | relaxed

Computed properties:
ΔH_f (0 K)   0.089 eV per atom
DOS(E_F)   15.369 states/eV/f.u.
Energy relative to the lowest polymorph listed for this composition   0 meV/atom
Calculated density   5.83 Mg/m³
Magnetic moment   0.00 μB per atom

Cell and atoms, written as POSCAR:
```
Pr2Dy3Y7
1.0
-2.959 -1.968 0.652
1.596 -3.773 -4.146
9.163 -9.269 13.615
Pr Dy Y
2 3 7
Cartesian
2.340 -6.368 1.409
5.460 -8.641 8.712
-0.682 -2.870 -1.747
3.737 -4.255 4.118
7.022 -8.787 5.351
3.940 -8.066 3.544
3.861 -6.943 6.577
2.382 -3.877 -0.892
0.000 0.000 0.000
8.377 -9.164 10.361
7.379 -11.707 8.165
0.422 -3.303 1.956
```